The following is a DFT calculation (GGA-PBE) of a relaxed FeHgH8C14Se4N6 crystal.

Structure (extended XYZ):
```
68
Lattice="6.0222 -6.5773 0.0000 6.0222 6.5773 0.0000 -1.9076 0.0000 11.8900" Properties=species:S:1:pos:R:3 pbc="T T T"
C 2.1449 -0.5023 0.0972
C 10.4946 -0.6772 0.3318
C 5.5002 -1.8015 0.9408
C 5.1445 5.8754 1.5440
C 4.5535 -4.9725 1.8298
C 11.2187 0.4638 2.3222
C 7.7673 3.0549 2.7429
C 3.3234 3.0549 3.2021
C -0.1280 0.4638 3.6228
C 6.5372 -4.9725 4.1152
C 5.9462 5.8754 4.4010
C 5.5905 -1.8015 5.0042
C 0.5961 -0.6772 5.6132
C 8.9457 -0.5023 5.8478
C 1.1912 0.5023 6.0422
C 9.5409 0.6772 6.2768
C 4.5464 1.8015 6.8858
C 4.1907 -5.8754 7.4890
C 3.5997 4.9725 7.7748
C 10.2649 -0.4638 8.2672
C 6.8135 -3.0549 8.6879
C 2.3696 -3.0549 9.1471
C -1.0818 -0.4638 9.5678
C 5.5834 4.9725 10.0602
C 4.9924 -5.8754 10.3460
C 4.6367 1.8015 10.9492
C -0.3577 0.6772 11.5582
C 7.9920 0.5023 11.7928
Fe 3.0111 -3.2886 0.0000
Fe 2.0573 3.2886 5.9450
H 1.6209 1.5669 0.2913
H 2.6748 -0.5611 1.0461
H 5.6388 4.9612 1.8718
H 4.5232 -4.0493 2.4062
H 6.5674 -4.0493 3.5388
H 5.4519 4.9612 4.0732
H 8.4159 -0.5611 4.8989
H 9.4698 1.5669 5.6537
H 0.6671 -1.5669 6.2363
H 1.7210 0.5611 6.9911
H 4.6850 -4.9612 7.8168
H 3.5695 4.0493 8.3512
H 5.6136 4.0493 9.4838
H 4.4981 -4.9612 10.0182
H 7.4621 0.5611 10.8439
H 8.5160 -1.5669 11.5987
Hg 5.5453 0.7115 2.9725
Hg 4.5916 -0.7115 8.9175
N 4.5009 -2.3134 0.5932
N 9.9370 1.6327 0.6389
N 8.1993 3.3821 1.6972
N 2.8913 3.3820 4.2478
N 1.1537 1.6327 5.3061
N 6.5898 -2.3134 5.3518
N 3.5471 2.3134 6.5382
N 8.9832 -1.6327 6.5839
N 7.2456 -3.3820 7.6422
N 1.9375 -3.3821 10.1928
N 0.1999 -1.6327 11.2511
N 5.6360 2.3134 11.2968
Se 7.0356 -1.0215 1.4805
Se 3.9570 2.4473 1.6172
Se 7.1337 2.4473 4.3278
Se 4.0551 -1.0215 4.4645
Se 6.0818 1.0215 7.4255
Se 3.0032 -2.4473 7.5622
Se 6.1799 -2.4473 10.2728
Se 3.1013 1.0215 10.4095
```

SG = C2/c
Energy = -0.486 Ry per atom
Size of the total moment = 0.0 Bohr magnetons per cell